[1]
A plane-wave DFT calculation with PBE was carried out for Tb3YN4 after structural relaxation.

abc: 3.4942 6.0490 6.0490
angles: 70.56 90.00 90.00
Last column: nearest neighbours and their distance in Å.
Fractional positions:
Tb1 0.0000 0.0002 0.9999  6 N 2.47
Tb2 0.5000 0.0002 0.4999  6 N 2.47
Tb3 0.0000 0.5002 0.4999  6 N 2.47
N1 0.9999 0.7497 0.7504  2 Y 2.47, 4 Tb 2.47
N2 0.4999 0.7498 0.2499  1 Y 2.47, 5 Tb 2.47
N3 0.5000 0.2502 0.7502  1 Y 2.47, 5 Tb 2.47
N4 0.9999 0.2504 0.2497  4 Tb 2.47, 2 Y 2.47
Y1 0.5000 0.5002 0.9999  6 N 2.47

Summary:
Uncorrected formation energy = -1671 meV per atom
Space group = No. 65

---

[2]
A plane-wave DFT calculation with PBE was carried out for SrCd2InCu after structural relaxation.

abc: 5.1170 5.1170 5.0803
angles: 90.00 90.00 90.00
Last column: nearest neighbours and their distance in Å.
Fractional positions:
In1 0.0000 0.0000 0.5000  2 Cu 2.54
Cd1 0.0000 0.5000 0.0000  2 Cu 2.56
Cd2 0.5000 0.0000 0.0000  2 Cu 2.56
Sr1 0.5000 0.5000 0.5000  8 Cd 3.61, 4 In 3.62
Cu1 0.0000 0.0000 0.0000  2 In 2.54, 4 Cd 2.56

Summary:
Energy of formation = -0.1150 eV/atom
Space group = No. 123

---

[3]
A plane-wave DFT calculation with PBE was carried out for PaSi2Os after structural relaxation.

abc: 4.1141 4.1141 5.3575
angles: 67.42 67.42 60.00
Last column: nearest neighbours and their distance in Å.
Fractional positions:
Pa1 0.5000 0.5000 0.5000  8 Si 2.94-3.08
Si1 0.2863 0.2863 0.1410  3 Os 2.47, 3 Si 2.73
Si2 0.7137 0.7137 0.8590  3 Os 2.47, 3 Si 2.73
Os1 0.0000 0.0000 0.0000  6 Si 2.47

Summary:
Uncorrected formation energy = -612 meV per atom
Space group = No. 166

---

[4]
A plane-wave DFT calculation with PBE was carried out for Ce3Hf2PaP6 after structural relaxation.

abc: 6.7884 6.7884 6.8314
angles: 99.56 99.56 120.04
Last column: nearest neighbours and their distance in Å.
Fractional positions:
P1 0.0773 0.4200 0.2314  2 Hf 2.68, 1 Pa 2.76, 3 Ce 2.82-2.88
P2 0.4200 0.0773 0.2314  2 Hf 2.68, 1 Pa 2.76, 3 Ce 2.82-2.88
P3 0.9227 0.5800 0.7686  2 Hf 2.68, 1 Pa 2.76, 3 Ce 2.82-2.88
P4 0.7328 0.7328 0.2279  2 Hf 2.68, 1 Pa 2.75, 3 Ce 2.81-2.87
P5 0.2672 0.2672 0.7721  2 Hf 2.68, 1 Pa 2.75, 3 Ce 2.81-2.87
P6 0.5800 0.9227 0.7686  2 Hf 2.68, 1 Pa 2.76, 3 Ce 2.82-2.88
Pa1 0.0000 0.0000 0.0000  6 P 2.75-2.76
Hf1 0.3325 0.6675 0.0000  6 P 2.68
Hf2 0.6675 0.3325 0.0000  6 P 2.68
Ce1 0.5000 0.5000 0.5000  6 P 2.81-2.87
Ce2 0.1642 0.8358 0.5000  6 P 2.82-2.88
Ce3 0.8358 0.1642 0.5000  6 P 2.82-2.88

Summary:
Energy of formation = -1.4136 eV/atom
Space group = No. 12

---

[5]
A plane-wave DFT calculation with PBE was carried out for CsTbUSe4 after structural relaxation.

abc: 9.0257 8.9151 9.1527
angles: 120.89 90.00 120.41
Last column: nearest neighbours and their distance in Å.
Fractional positions:
Tb1 0.5000 0.0000 0.0000  6 Se 2.93-2.94
Tb2 0.5000 0.0000 0.5000  6 Se 2.93-2.94
Se1 0.6801 0.9561 0.7280  1 U 2.85, 2 Tb 2.94
Se2 0.2662 0.5324 0.3209  2 U 2.89, 1 Tb 2.93
Se3 0.7338 0.4676 0.2885  2 U 2.89, 1 Tb 2.93
Se4 0.3199 0.0439 0.2720  1 U 2.85, 2 Tb 2.94
Se5 0.7240 0.0439 0.2720  1 U 2.85, 2 Tb 2.94
Se6 0.2760 0.9561 0.7280  1 U 2.85, 2 Tb 2.94
Se7 0.2662 0.5324 0.7115  2 U 2.89, 1 Tb 2.93
Se8 0.7338 0.4676 0.6791  2 U 2.89, 1 Tb 2.93
U1 0.0000 0.5000 0.5000  6 Se 2.85-2.89
U2 0.5000 0.5000 0.5000  6 Se 2.85-2.89
Cs1 0.1282 0.2564 0.8782  4 Se 3.27
Cs2 0.8718 0.7436 0.1218  4 Se 3.27

Summary:
Uncorrected formation energy = -1369 meV per atom
Space group = No. 74

---

[6]
A plane-wave DFT calculation with PBE was carried out for Sr2Cd2Pb after structural relaxation.

abc: 8.5742 8.5742 4.5153
angles: 90.00 90.00 90.00
Last column: nearest neighbours and their distance in Å.
Fractional positions:
Cd1 0.3798 0.8798 0.0000  1 Cd 2.92
Cd2 0.6202 0.1202 0.0000  1 Cd 2.92
Cd3 0.1202 0.3798 0.0000  1 Cd 2.92
Cd4 0.8798 0.6202 0.0000  1 Cd 2.92
Pb1 0.0000 0.0000 0.0000  4 Cd 3.42
Pb2 0.5000 0.5000 0.0000  4 Cd 3.42
Sr1 0.3214 0.1786 0.5000  6 Cd 3.32-3.45
Sr2 0.1786 0.6786 0.5000  6 Cd 3.32-3.45
Sr3 0.6786 0.8214 0.5000  6 Cd 3.32-3.45
Sr4 0.8214 0.3214 0.5000  6 Cd 3.32-3.45

Summary:
Energy of formation = -0.3335 eV/atom
Polymorph energy (0 for the lowest one) = 0.055 eV/atom
Space group = No. 127

---

[7]
A plane-wave DFT calculation with PBE was carried out for Cr2CuSi after structural relaxation.

abc: 2.5349 2.5349 7.8703
angles: 90.00 90.00 107.35
Last column: nearest neighbours and their distance in Å.
Fractional positions:
Cr1 0.5000 0.5000 0.2402  6 Cr 2.44-2.53, 2 Cu 2.58
Cr2 0.0000 0.0000 0.9964  2 Si 2.41, 6 Cr 2.44-2.53
Cu1 0.0000 0.0000 0.5061  2 Si 2.48, 4 Cu 2.53, 2 Cr 2.58
Si1 0.5000 0.5000 0.7573  2 Cr 2.41, 2 Cu 2.48, 4 Si 2.53

Summary:
Uncorrected formation energy = 138 meV per atom
Space group = No. 35

---

[8]
A plane-wave DFT calculation with PBE was carried out for KInPbF6 after structural relaxation.

abc: 7.8261 7.9502 7.8064
angles: 120.61 120.08 90.00
Last column: nearest neighbours and their distance in Å.
Fractional positions:
F1 0.5551 0.4044 0.7354  1 In 2.08
F2 0.1803 0.8310 0.7354  1 In 2.08
F3 0.4449 0.5956 0.2646  1 In 2.08
F4 0.1197 0.8697 0.2394  2 Pb 2.42
F5 0.4449 0.1690 0.2646  1 In 2.08
F6 0.1803 0.4044 0.7354  1 In 2.08
F7 0.5551 0.8310 0.7354  1 In 2.08
F8 0.8197 0.5956 0.2646  1 In 2.08
F9 0.8803 0.1303 0.7606  2 Pb 2.42
F10 0.4246 0.1746 0.8491  2 In 2.15
F11 0.8197 0.1690 0.2646  1 In 2.08
F12 0.5754 0.8254 0.1509  2 In 2.15
K1 0.1443 0.3943 0.2886  5 F 2.88-2.98
K2 0.8557 0.6057 0.7114  5 F 2.88-2.98
Pb1 0.5000 0.0000 0.5000  6 F 2.42-2.66
Pb2 0.0000 0.0000 0.5000  6 F 2.42-2.66
In1 0.5000 0.5000 0.0000  6 F 2.08-2.15
In2 0.5000 0.0000 0.0000  6 F 2.08-2.15

Summary:
Uncorrected formation energy = -2535 meV per atom
Space group = No. 74

---

Number 1: spin magnetization 0.00 μB per cell, raw total energy -67.02 eV per cell. Number 2: spin magnetization 0.00 μB per cell, raw total energy -10.92 eV per cell. Number 3: spin magnetization 0.00 μB per cell, raw total energy -34.02 eV per cell. Number 4: spin magnetization 0.08 μB per cell, raw total energy -96.63 eV per cell. Number 5: spin magnetization 4.00 μB per cell, raw total energy -80.58 eV per cell. Number 6: spin magnetization 0.00 μB per cell, raw total energy -21.14 eV per cell. Number 7: spin magnetization 0.00 μB per cell, raw total energy -28.21 eV per cell. Number 8: spin magnetization 0.00 μB per cell, raw total energy -83.17 eV per cell.